[1]
Computed, not measured: a relaxed HoLuGaHg crystal at the PBE level of DFT.

Calculated formation energy (eV per atom): -0.50

Lattice parameters (Å, degrees): 5.1149 5.1149 5.1149 60.00 60.00 60.00
Last column: nearest neighbours and their distance in Å.
Element x y z (fractional)
Ho 0.0000 0.0000 0.0000  4 Hg 3.13, 4 Ga 3.13
Lu 0.5000 0.5000 0.5000  4 Hg 3.13, 4 Ga 3.13
Ga 0.2500 0.2500 0.2500  4 Ho 3.13, 4 Lu 3.13
Hg 0.7500 0.7500 0.7500  4 Ho 3.13, 4 Lu 3.13


[2]
Computed, not measured: a relaxed Ho4GaHgN crystal at the PBE level of DFT.

Formation energy (no corrections) (eV/atom): -0.779

Lattice parameters (Å, degrees): 7.9984 7.9984 6.7360 90.00 90.00 130.19
Last column: nearest neighbours and their distance in Å.
Element x y z (fractional)
Ho 0.0000 0.5000 0.0000  2 N 2.38
Ho 0.0000 0.5000 0.5000  2 N 2.38
Ho 0.0787 0.9213 0.7500  1 N 2.46
Ho 0.4190 0.5810 0.7500  1 N 2.48
Ho 0.5000 0.0000 0.0000  2 N 2.38
Ho 0.5000 0.0000 0.5000  2 N 2.38
Ho 0.5810 0.4190 0.2500  1 N 2.48
Ho 0.9213 0.0787 0.2500  1 N 2.46
Ga 0.1246 0.8754 0.2500  5 Ho 2.95-3.00
Ga 0.8754 0.1246 0.7500  5 Ho 2.95-3.00
Hg 0.3820 0.6180 0.2500  5 Ho 2.89-3.06
Hg 0.6180 0.3820 0.7500  5 Ho 2.89-3.06
N 0.2479 0.7521 0.7500  6 Ho 2.38-2.48
N 0.7521 0.2479 0.2500  6 Ho 2.38-2.48


[3]
Computed, not measured: a relaxed Ho4GaHgO crystal at the PBE level of DFT.

Formation energy (no corrections) (eV/atom): -1.128

Lattice parameters (Å, degrees): 8.4043 8.4043 6.4932 90.00 90.00 134.59
Last column: nearest neighbours and their distance in Å.
Element x y z (fractional)
Ho 0.0000 0.5000 0.0000  2 O 2.30
Ho 0.0000 0.5000 0.5000  2 O 2.30
Ho 0.0714 0.9286 0.7500  1 O 2.82, 1 Ga 2.94
Ho 0.4242 0.5758 0.7500  1 O 2.65, 1 Hg 2.95
Ho 0.5000 0.0000 0.0000  2 O 2.30
Ho 0.5000 0.0000 0.5000  2 O 2.30
Ho 0.5758 0.4242 0.2500  1 O 2.65, 1 Hg 2.95
Ho 0.9286 0.0714 0.2500  1 O 2.82, 1 Ga 2.94
Ga 0.1184 0.8816 0.2500  5 Ho 2.94-3.07
Ga 0.8816 0.1184 0.7500  5 Ho 2.94-3.07
Hg 0.3854 0.6146 0.2500  7 Ho 2.95-3.30
Hg 0.6146 0.3854 0.7500  7 Ho 2.95-3.30
O 0.2534 0.7466 0.7500  4 Ho 2.30
O 0.7466 0.2534 0.2500  4 Ho 2.30


[4]
Computed, not measured: a relaxed HoPaGaHg crystal at the PBE level of DFT.

Calculated formation energy (eV per atom): -0.15

Lattice parameters (Å, degrees): 5.1649 5.1649 5.1649 60.00 60.00 60.00
Last column: nearest neighbours and their distance in Å.
Element x y z (fractional)
Ho 0.0000 0.0000 0.0000  4 Hg 3.16, 4 Ga 3.16
Pa 0.5000 0.5000 0.5000  4 Ga 3.16, 4 Hg 3.16
Ga 0.7500 0.7500 0.7500  4 Ho 3.16, 4 Pa 3.16
Hg 0.2500 0.2500 0.2500  4 Pa 3.16, 4 Ho 3.16